Entry 1:
# Ac2YCd3In4

A geometry-optimized Ac2YCd3In4 structure (PBE-GGA, Alexandria).

Computed properties:
energy of formation from the pure elements	-343	meV/atom
D(E_F)	6.2	states/eV/cell
total moment	0.000	Bohr magnetons per cell

a = 4.7892 Å, b = 4.7892 Å, c = 12.7083 Å
α = 90.00°, β = 90.00°, γ = 90.00°
With the nearest neighbours (Å) after each atom.
Sites, in units of the cell vectors:
Ac (0.5000, 0.0000, 0.2379)  4 Cd 3.64, 8 In 3.68-3.86
Ac (0.0000, 0.5000, 0.7621)  4 Cd 3.64, 8 In 3.68-3.86
Y (0.5000, 0.5000, 0.5000)  4 In 3.05, 4 Cd 3.39
Cd (0.0000, 0.0000, 0.5000)  4 In 3.05, 4 Y 3.39
Cd (0.5000, 0.0000, 0.8665)  5 In 2.77-2.93
Cd (0.0000, 0.5000, 0.1335)  5 In 2.77-2.93
In (0.5000, 0.5000, 0.0000)  4 Cd 2.93
In (0.0000, 0.0000, 0.0000)  4 Cd 2.93
In (0.5000, 0.0000, 0.6483)  3 Cd 2.77-3.05, 2 Y 3.05
In (0.0000, 0.5000, 0.3517)  3 Cd 2.77-3.05, 2 Y 3.05

---

Entry 2:
# Ac2Zn3Cd4In

A geometry-optimized Ac2Zn3Cd4In structure (PBE-GGA, Alexandria).

Computed properties:
energy of formation from the pure elements	-266	meV/atom
D(E_F)	7.6	states/eV/cell
total moment	0.000	Bohr magnetons per cell

a = 4.6361 Å, b = 4.6361 Å, c = 11.6417 Å
α = 90.00°, β = 90.00°, γ = 90.00°
With the nearest neighbours (Å) after each atom.
Sites, in units of the cell vectors:
Ac (0.5000, 0.0000, 0.2452)  8 Cd 3.54-3.68, 6 Zn 3.54-3.76, 2 In 3.76
Ac (0.0000, 0.5000, 0.7548)  8 Cd 3.54-3.68, 6 Zn 3.54-3.76, 2 In 3.76
Zn (0.0000, 0.0000, 0.5000)  4 Cd 2.84
Zn (0.5000, 0.0000, 0.8687)  5 Cd 2.65-2.78
Zn (0.0000, 0.5000, 0.1313)  5 Cd 2.65-2.78
Cd (0.5000, 0.5000, 0.0000)  4 Zn 2.78
Cd (0.0000, 0.0000, 0.0000)  4 Zn 2.78
Cd (0.5000, 0.0000, 0.6411)  3 Zn 2.65-2.84, 2 In 2.84
Cd (0.0000, 0.5000, 0.3589)  3 Zn 2.65-2.84, 2 In 2.84
In (0.5000, 0.5000, 0.5000)  4 Cd 2.84

---

Entry 3:
# AcZnCd6In

A geometry-optimized AcZnCd6In structure (PBE-GGA, Alexandria).

Computed properties:
energy of formation from the pure elements	-28	meV/atom
D(E_F)	11.3	states/eV/cell
total moment	0.000	Bohr magnetons per cell

a = 9.9321 Å, b = 7.6530 Å, c = 8.8581 Å
α = 115.59°, β = 124.10°, γ = 90.00°
With the nearest neighbours (Å) after each atom.
Sites, in units of the cell vectors:
Ac (0.0494, 0.7994, 0.0987)  10 Cd 3.44-3.81, 2 Zn 3.53
Ac (0.9506, 0.2006, 0.9013)  10 Cd 3.44-3.81, 2 Zn 3.53
Zn (0.5000, 0.0000, 0.5000)  6 Cd 2.65-2.81
Zn (0.0000, 0.0000, 0.5000)  6 Cd 2.65-2.81
Cd (0.2548, 0.5048, 0.5097)  8 Cd 3.23-3.34, 2 In 3.62
Cd (0.6760, 0.9260, 0.3520)  2 Zn 2.65, 2 In 2.92
Cd (0.8873, 0.1822, 0.2528)  1 Zn 2.81, 2 Cd 2.97-3.10, 1 In 3.07
Cd (0.3655, 0.5706, 0.2528)  1 Zn 2.81, 2 Cd 2.97-3.10, 1 In 3.07
Cd (0.3655, 0.1822, 0.2528)  1 Zn 2.81, 2 Cd 2.97-3.10, 1 In 3.07
Cd (0.8873, 0.5706, 0.2528)  1 Zn 2.81, 2 Cd 2.97-3.10, 1 In 3.07
Cd (0.7452, 0.4952, 0.4903)  8 Cd 3.23-3.34, 2 In 3.62
Cd (0.3240, 0.0740, 0.6480)  2 Zn 2.65, 2 In 2.92
Cd (0.1127, 0.8178, 0.7472)  1 Zn 2.81, 2 Cd 2.97-3.10, 1 In 3.07
Cd (0.6345, 0.4294, 0.7472)  1 Zn 2.81, 2 Cd 2.97-3.10, 1 In 3.07
Cd (0.6345, 0.8178, 0.7472)  1 Zn 2.81, 2 Cd 2.97-3.10, 1 In 3.07
Cd (0.1127, 0.4294, 0.7472)  1 Zn 2.81, 2 Cd 2.97-3.10, 1 In 3.07
In (0.5000, 0.5000, 0.0000)  6 Cd 2.92-3.07
In (0.5000, 0.0000, 0.0000)  6 Cd 2.92-3.07

---

Entry 4:
# AcZnCdIn

A geometry-optimized AcZnCdIn structure (PBE-GGA, Alexandria).

Computed properties:
energy of formation from the pure elements	-259	meV/atom
D(E_F)	1.5	states/eV/cell
total moment	0.000	Bohr magnetons per cell

a = 5.3122 Å, b = 5.3122 Å, c = 5.3122 Å
α = 60.00°, β = 60.00°, γ = 60.00°
With the nearest neighbours (Å) after each atom.
Sites, in units of the cell vectors:
Ac (0.0000, 0.0000, 0.0000)  4 Cd 3.25, 4 Zn 3.25
Cd (0.7500, 0.7500, 0.7500)  4 Ac 3.25, 4 In 3.25
Zn (0.2500, 0.2500, 0.2500)  4 In 3.25, 4 Ac 3.25
In (0.5000, 0.5000, 0.5000)  4 Cd 3.25, 4 Zn 3.25

---

Entry 5:
# Ac2Zn3CdIn4

A geometry-optimized Ac2Zn3CdIn4 structure (PBE-GGA, Alexandria).

Computed properties:
energy of formation from the pure elements	-355	meV/atom
D(E_F)	3.0	states/eV/cell
total moment	0.000	Bohr magnetons per cell

a = 4.6765 Å, b = 4.6765 Å, c = 11.5652 Å
α = 90.00°, β = 90.00°, γ = 90.00°
With the nearest neighbours (Å) after each atom.
Sites, in units of the cell vectors:
Ac (0.5000, 0.0000, 0.2483)  8 In 3.56-3.70, 6 Zn 3.56-3.73, 2 Cd 3.73
Ac (0.0000, 0.5000, 0.7517)  8 In 3.56-3.70, 6 Zn 3.56-3.73, 2 Cd 3.73
Zn (0.0000, 0.0000, 0.5000)  4 In 2.83
Zn (0.5000, 0.0000, 0.8656)  5 In 2.63-2.81
Zn (0.0000, 0.5000, 0.1344)  5 In 2.63-2.81
Cd (0.5000, 0.5000, 0.5000)  4 In 2.83
In (0.5000, 0.5000, 0.0000)  4 Zn 2.81
In (0.0000, 0.0000, 0.0000)  4 Zn 2.81
In (0.5000, 0.0000, 0.6383)  3 Zn 2.63-2.83, 2 Cd 2.83
In (0.0000, 0.5000, 0.3617)  3 Zn 2.63-2.83, 2 Cd 2.83

---

Entry 6:
# AcZnCdIn2

A geometry-optimized AcZnCdIn2 structure (PBE-GGA, Alexandria).

Computed properties:
energy of formation from the pure elements	-313	meV/atom
D(E_F)	1.4	states/eV/cell
total moment	0.000	Bohr magnetons per cell

a = 4.7373 Å, b = 4.7373 Å, c = 6.7705 Å
α = 110.48°, β = 110.48°, γ = 90.00°
With the nearest neighbours (Å) after each atom.
Sites, in units of the cell vectors:
Ac (0.0000, 0.0000, 0.0000)  8 In 3.63, 4 Cd 3.78, 4 Zn 3.78
Zn (0.2500, 0.7500, 0.5000)  4 In 2.82
Cd (0.7500, 0.2500, 0.5000)  4 In 2.82
In (0.6195, 0.6195, 0.2390)  1 In 2.81, 2 Zn 2.82, 2 Cd 2.82
In (0.3805, 0.3805, 0.7610)  1 In 2.81, 2 Cd 2.82, 2 Zn 2.82